Below is a relaxed structure of Hg2GeW, with properties calculated at the PBE level.

Calculated values
The total energy is -3.56 eV per atom.

Unit cell a=4.7699 b=4.7699 c=4.7699 alpha=60.00 beta=60.00 gamma=60.00
Last column: nearest neighbours and their distance in Å.
Sites, in units of the cell vectors:
Hg 0.0000 0.0000 0.0000  4 W 2.92, 4 Hg 2.92
Hg 0.2500 0.2500 0.2500  4 Hg 2.92, 4 Ge 2.92
Ge 0.5000 0.5000 0.5000  4 W 2.92, 4 Hg 2.92
W 0.7500 0.7500 0.7500  4 Ge 2.92, 4 Hg 2.92